Record 1
## FeHCS2 (PBE-GGA)

Data for a relaxed FeHCS2 crystal.

```
FeHCS2
1.0
4.512 0.000 0.000
0.000 3.545 0.000
0.000 0.000 4.512
C S Fe H
1 2 1 1
Cartesian
0.000 1.773 0.000
0.000 0.000 2.256
2.256 0.000 0.000
0.000 0.000 0.000
2.256 1.773 2.256
```

## Properties
SG = No. 123
final energy = -22.96 eV for the cell shown


Record 2
## Hf6FeC (PBE-GGA)

Data for a relaxed Hf6FeC crystal.

```
Hf6FeC
1.0
-2.333 3.544 -3.817
-1.253 -1.877 -5.243
-6.222 -0.899 -1.296
Hf Fe C
6 1 1
Cartesian
-4.418 1.999 -6.981
-5.390 -1.231 -3.376
-3.212 -1.148 -6.115
-3.161 1.437 -3.785
-6.648 -0.669 -6.571
-6.597 1.917 -4.241
-4.904 0.384 -5.178
0.000 0.000 0.000
```

## Properties
SG = No. 148
energy relative to the elements = -139 meV/atom


Record 3
## HfFeC2 (PBE-GGA)

Data for a relaxed HfFeC2 crystal.

```
HfFeC2
1.0
4.466 0.000 0.000
0.000 4.466 0.000
2.233 2.233 4.939
Fe Hf C
2 2 4
Cartesian
2.233 4.466 2.470
2.233 2.233 0.000
4.466 2.233 2.470
0.000 0.000 0.000
3.349 3.665 3.705
1.432 3.349 1.235
3.034 1.116 1.235
5.582 5.267 3.705
```

## Properties
SG = No. 122
energy relative to the elements = 238 meV/atom


Record 4
## Hf4FeC (PBE-GGA)

Data for a relaxed Hf4FeC crystal.

```
Hf4FeC
1.0
-5.124 -1.293 -2.291
-2.476 -0.314 5.714
-0.922 5.711 -1.160
Hf Fe C
8 2 2
Cartesian
-2.658 0.248 3.436
-4.985 0.830 -1.634
-5.193 0.933 1.683
-6.216 3.923 2.080
-3.536 3.275 3.897
-5.864 3.857 -1.173
-2.306 0.181 0.183
-3.329 3.171 0.579
-3.023 2.209 -1.726
-1.699 2.699 2.277
-3.800 -0.803 1.711
0.000 0.000 0.000
```

## Properties
SG = No. 14
energy relative to the elements = -291 meV/atom